Entry 1:
Below is a relaxed Ce5Tl2Ga crystal, with properties calculated at the PBE level.

Geometry as POSCAR:
```
Ce5Tl2Ga
1.0
-3.7339 0.0815 2.8311
-0.3978 -4.6532 -0.3908
7.8111 1.1557 6.3898
Ce Tl Ga
5 2 1
Direct
0.3807 0.8807 0.7614
0.1193 0.6193 0.2386
0.6193 0.1193 0.2386
0.5000 0.5000 0.0000
0.8807 0.3807 0.7614
0.2501 0.2501 0.5002
0.7499 0.7499 0.4998
0.0000 0.0000 0.0000
```

* space-group type: I4/mmm (139)
* density of states at the Fermi level: 2.7325 states/eV per atom
* energy of formation: -19.8 kJ/mol of atoms
* electronic total energy: -0.1795 hartree per atom

Entry 2:
Below is a relaxed LiAc2In4Pd3 crystal, with properties calculated at the PBE level.

Geometry as POSCAR:
```
LiAc2In4Pd3
1.0
-2.0789 3.9011 0.5803
-2.5385 -0.8215 -3.5719
-8.2747 -5.4716 7.1390
Pd In Ac Li
3 4 2 1
Direct
0.0000 0.5000 0.1440
0.5000 0.0000 0.8560
0.0000 0.0000 0.5000
0.5000 0.5000 0.0000
0.0000 0.0000 0.0000
0.5000 0.0000 0.6285
0.0000 0.5000 0.3715
0.0000 0.5000 0.7584
0.5000 0.0000 0.2416
0.5000 0.5000 0.5000
```

* space-group type: P-4m2 (115)
* density of states at the Fermi level: 0.4882 states/eV per atom
* energy of formation: -57.2 kJ/mol of atoms
* electronic total energy: -0.1565 hartree per atom